The following is a DFT calculation (PBE) of crystalline HfBr3 at its relaxed geometry.

Geometry as CIF:
```
data_HfBr3
_symmetry_space_group_name_H-M 'R -3 m'
_symmetry_Int_Tables_number 166
_symmetry_space_group_name_Hall '-R 3 2"'
_cell_length_a 3.4215
_cell_length_b 3.4215
_cell_length_c 33.0948
_cell_angle_alpha 90.00
_cell_angle_beta 90.00
_cell_angle_gamma 120.00
loop_
_atom_site_label
_atom_site_type_symbol
_atom_site_fract_x
_atom_site_fract_y
_atom_site_fract_z
Hf1 Hf 0.0000 0.0000 0.0000
Br1 Br 0.0000 0.0000 0.3906
Br2 Br 0.0000 0.0000 0.5000
```

Properties
- Fermi-level density of states: 7.779 states/eV per cell
- Crystal system: trigonal
- Theoretical density: 6.21 g/cm3
- Energy: -4.42 eV/atom



The following is a DFT calculation (PBE) of crystalline HfBr at its relaxed geometry.

Geometry as CIF:
```
data_HfBr
_symmetry_space_group_name_H-M 'P m m n'
_symmetry_Int_Tables_number 59
_cell_length_a 3.354
_cell_length_b 12.572
_cell_length_c 6.737
_cell_angle_alpha 90.00
_cell_angle_beta 90.00
_cell_angle_gamma 90.00
loop_
_symmetry_equiv_pos_as_xyz
'x,y,z'
'-x,-y,-z'
'-x+1/2,-y+1/2,z'
'x+1/2,y+1/2,-z'
'x+1/2,-y,-z'
'-x+1/2,y,z'
'-x,y+1/2,-z'
'x,-y+1/2,z'
loop_
_atom_site_label
_atom_site_type_symbol
_atom_site_fract_x
_atom_site_fract_y
_atom_site_fract_z
Hf1 Hf 0.250 0.122 0.003
Hf2 Hf 0.250 0.750 0.283
Br1 Br 0.250 0.250 0.358
Br2 Br 0.250 0.534 0.287
```

Properties
- Fermi-level density of states: 3.404 states/eV per cell
- Crystal system: orthorhombic
- Theoretical density: 9.06 g/cm3
- Energy: -6.28 eV/atom



The following is a DFT calculation (PBE) of crystalline HfBr at its relaxed geometry.

Geometry as CIF:
```
data_HfBr
_symmetry_space_group_name_H-M 'P 63 m c'
_symmetry_Int_Tables_number 186
_symmetry_space_group_name_Hall 'P 6c -2c'
_cell_length_a 3.3290
_cell_length_b 3.3290
_cell_length_c 9.5168
_cell_angle_alpha 90.00
_cell_angle_beta 90.00
_cell_angle_gamma 120.00
loop_
_atom_site_label
_atom_site_type_symbol
_atom_site_fract_x
_atom_site_fract_y
_atom_site_fract_z
Hf1 Hf 0.3333 0.6667 0.0000
Br1 Br 0.3333 0.6667 0.7097
```

Properties
- Fermi-level density of states: 3.462 states/eV per cell
- Crystal system: hexagonal
- Theoretical density: 9.40 g/cm3
- Energy: -6.11 eV/atom



The following is a DFT calculation (PBE) of crystalline HfBr at its relaxed geometry.

Geometry as CIF:
```
data_HfBr
_symmetry_space_group_name_H-M 'P 63/m'
_symmetry_Int_Tables_number 176
_symmetry_space_group_name_Hall '-P 6c'
_cell_length_a 10.0897
_cell_length_b 10.0897
_cell_length_c 3.3649
_cell_angle_alpha 90.00
_cell_angle_beta 90.00
_cell_angle_gamma 120.00
loop_
_atom_site_label
_atom_site_type_symbol
_atom_site_fract_x
_atom_site_fract_y
_atom_site_fract_z
Hf1 Hf 0.1371 0.6233 0.2500
Br1 Br 0.0439 0.3149 0.2500
```

Properties
- Fermi-level density of states: 8.211 states/eV per cell
- Crystal system: hexagonal
- Theoretical density: 8.68 g/cm3
- Energy: -6.24 eV/atom



The following is a DFT calculation (PBE) of crystalline HfBr3 at its relaxed geometry.

Geometry as CIF:
```
data_HfBr3
_symmetry_space_group_name_H-M 'P 63/m m c'
_symmetry_Int_Tables_number 194
_symmetry_space_group_name_Hall '-P 6c 2c'
_cell_length_a 10.4737
_cell_length_b 10.4737
_cell_length_c 3.4036
_cell_angle_alpha 90.00
_cell_angle_beta 90.00
_cell_angle_gamma 120.00
loop_
_atom_site_label
_atom_site_type_symbol
_atom_site_fract_x
_atom_site_fract_y
_atom_site_fract_z
Hf1 Hf 0.3333 0.6667 0.2500
Br1 Br 0.2194 0.4388 0.7500
```

Properties
- Fermi-level density of states: 3.151 states/eV per cell
- Crystal system: hexagonal
- Theoretical density: 4.30 g/cm3
- Energy: -4.96 eV/atom



The following is a DFT calculation (PBE) of crystalline HfBr at its relaxed geometry.

Geometry as CIF:
```
data_HfBr
_symmetry_space_group_name_H-M 'P 42/m n m'
_symmetry_Int_Tables_number 136
_symmetry_space_group_name_Hall '-P 4n 2n'
_cell_length_a 5.589
_cell_length_b 5.589
_cell_length_c 5.595
_cell_angle_alpha 90.00
_cell_angle_beta 90.00
_cell_angle_gamma 90.00
loop_
_atom_site_label
_atom_site_type_symbol
_atom_site_fract_x
_atom_site_fract_y
_atom_site_fract_z
Hf1 Hf 0.190 0.190 0.000
Br1 Br 0.201 0.201 0.500
```

Properties
- Fermi-level density of states: 6.915 states/eV per cell
- Crystal system: tetragonal
- Theoretical density: 9.82 g/cm3
- Energy: -5.43 eV/atom



The following is a DFT calculation (PBE) of crystalline HfBr at its relaxed geometry.

Geometry as CIF:
```
data_HfBr
_symmetry_space_group_name_H-M 'I -4 3 m'
_symmetry_Int_Tables_number 217
_symmetry_space_group_name_Hall 'I -4 2 3'
_cell_length_a 8.666
_cell_length_b 8.666
_cell_length_c 8.666
_cell_angle_alpha 90.00
_cell_angle_beta 90.00
_cell_angle_gamma 90.00
loop_
_atom_site_label
_atom_site_type_symbol
_atom_site_fract_x
_atom_site_fract_y
_atom_site_fract_z
Hf1 Hf 0.117 0.117 0.883
Br1 Br 0.195 0.195 0.195
```

Properties
- Fermi-level density of states: 12.631 states/eV per cell
- Crystal system: cubic
- Theoretical density: 5.27 g/cm3
- Energy: -5.53 eV/atom



The following is a DFT calculation (PBE) of crystalline HfBr at its relaxed geometry.

Geometry as CIF:
```
data_HfBr
_symmetry_space_group_name_H-M 'F -4 3 m'
_symmetry_Int_Tables_number 216
_symmetry_space_group_name_Hall 'F -4 2 3'
_cell_length_a 6.025
_cell_length_b 6.025
_cell_length_c 6.025
_cell_angle_alpha 90.00
_cell_angle_beta 90.00
_cell_angle_gamma 90.00
loop_
_atom_site_label
_atom_site_type_symbol
_atom_site_fract_x
_atom_site_fract_y
_atom_site_fract_z
Hf1 Hf 0.000 0.000 0.000
Br1 Br 0.250 0.250 0.250
```

Properties
- Fermi-level density of states: 15.725 states/eV per cell
- Crystal system: cubic
- Theoretical density: 7.85 g/cm3
- Energy: -5.13 eV/atom



The following is a DFT calculation (PBE) of crystalline HfBr at its relaxed geometry.

Geometry as CIF:
```
data_HfBr
_symmetry_space_group_name_H-M 'P m -3 n'
_symmetry_Int_Tables_number 223
_symmetry_space_group_name_Hall '-P 4n 2 3'
_cell_length_a 7.356
_cell_length_b 7.356
_cell_length_c 7.356
_cell_angle_alpha 90.00
_cell_angle_beta 90.00
_cell_angle_gamma 90.00
loop_
_atom_site_label
_atom_site_type_symbol
_atom_site_fract_x
_atom_site_fract_y
_atom_site_fract_z
Hf1 Hf 0.000 0.250 0.500
Br1 Br 0.000 0.500 0.250
```

Properties
- Fermi-level density of states: 20.971 states/eV per cell
- Crystal system: cubic
- Theoretical density: 6.47 g/cm3
- Energy: -4.97 eV/atom



The following is a DFT calculation (PBE) of crystalline HfBr3 at its relaxed geometry.

Geometry as CIF:
```
data_HfBr3
_symmetry_space_group_name_H-M 'I -4 2 d'
_symmetry_Int_Tables_number 122
_symmetry_space_group_name_Hall 'I -4 2bw'
_cell_length_a 9.658
_cell_length_b 9.658
_cell_length_c 5.356
_cell_angle_alpha 90.00
_cell_angle_beta 90.00
_cell_angle_gamma 90.00
loop_
_atom_site_label
_atom_site_type_symbol
_atom_site_fract_x
_atom_site_fract_y
_atom_site_fract_z
Hf1 Hf 0.000 0.000 0.000
Br1 Br 0.000 0.000 0.500
Br2 Br 0.107 0.250 0.125
```

Properties
- Fermi-level density of states: 10.857 states/eV per cell
- Crystal system: tetragonal
- Theoretical density: 5.56 g/cm3
- Energy: -4.67 eV/atom



The following is a DFT calculation (PBE) of crystalline HfBr at its relaxed geometry.

Geometry as CIF:
```
data_HfBr
_symmetry_space_group_name_H-M 'I 4/m'
_symmetry_Int_Tables_number 87
_symmetry_space_group_name_Hall '-I 4'
_cell_length_a 10.995
_cell_length_b 10.995
_cell_length_c 3.417
_cell_angle_alpha 90.00
_cell_angle_beta 90.00
_cell_angle_gamma 90.00
loop_
_atom_site_label
_atom_site_type_symbol
_atom_site_fract_x
_atom_site_fract_y
_atom_site_fract_z
Hf1 Hf 0.110 0.382 0.000
Br1 Br 0.123 0.811 0.000
```

Properties
- Fermi-level density of states: 12.528 states/eV per cell
- Crystal system: tetragonal
- Theoretical density: 8.31 g/cm3
- Energy: -6.36 eV/atom



The following is a DFT calculation (PBE) of crystalline HfBr at its relaxed geometry.

Geometry as CIF:
```
data_HfBr
_symmetry_space_group_name_H-M 'P 21 21 21'
_symmetry_Int_Tables_number 19
_cell_length_a 6.041
_cell_length_b 6.841
_cell_length_c 8.731
_cell_angle_alpha 90.00
_cell_angle_beta 90.00
_cell_angle_gamma 90.00
loop_
_symmetry_equiv_pos_as_xyz
'x,y,z'
'-x+1/2,-y,z+1/2'
'x+1/2,-y+1/2,-z'
'-x,y+1/2,-z+1/2'
loop_
_atom_site_label
_atom_site_type_symbol
_atom_site_fract_x
_atom_site_fract_y
_atom_site_fract_z
Hf1 Hf 0.072 0.070 0.294
Hf2 Hf 0.126 0.265 0.976
Br1 Br 0.139 0.558 0.749
Br2 Br 0.152 0.850 0.047
```

Properties
- Fermi-level density of states: 7.815 states/eV per cell
- Crystal system: orthorhombic
- Theoretical density: 9.51 g/cm3
- Energy: -6.02 eV/atom



The lowest theoretical density belongs to which entry?
number 5